# AcVHgO4 PBE+U optimized geometry
# - total DFT energy (no corrections) (eV per atom) = -6.767
# - crystal system = monoclinic
data_AcVHgO4
_chemical_formula_sum 'Ac4 V4 Hg4 O16'
_symmetry_space_group_name_H-M 'C 1 2/m 1'
_symmetry_Int_Tables_number 12
_cell_length_a 12.2850
_cell_length_b 6.8108
_cell_length_c 6.8528
_cell_angle_alpha 90.00
_cell_angle_beta 113.39
_cell_angle_gamma 90.00
loop_
_symmetry_equiv_pos_as_xyz
'x,y,z'
'-x,-y,-z'
'-x,y,-z'
'x,-y,z'
'x+1/2,y+1/2,z'
'-x+1/2,-y+1/2,-z'
'-x+1/2,y+1/2,-z'
'x+1/2,-y+1/2,z'
loop_
_atom_site_label
_atom_site_fract_x
_atom_site_fract_y
_atom_site_fract_z
Ac1 0.1816 0.0000 0.2880
V1 0.1707 0.0000 0.7767
Hg1 0.0225 0.5000 0.2543
O1 0.0431 0.0000 0.8321
O2 0.1843 0.1981 0.6227
O3 0.2191 0.5000 0.9742